1.
VASP calculation (PBE-GGA) on Mn2InPd8 after structural relaxation.

abc: 7.356 7.356 6.279
angles: 105.48 105.48 31.85
Element x y z (fractional)
Mn 0.224 0.224 0.150
Mn 0.776 0.776 0.850
In 0.500 0.500 0.500
Pd 0.044 0.044 0.226
Pd 0.146 0.146 0.701
Pd 0.319 0.319 0.585
Pd 0.402 0.402 0.036
Pd 0.598 0.598 0.964
Pd 0.681 0.681 0.415
Pd 0.854 0.854 0.299
Pd 0.956 0.956 0.774

Calculated values
excess energy over the best structure of this formula in the dataset = 0.0 meV/atom
energy of formation from the pure elements = -0.29 eV per atom

---

2.
VASP calculation (PBE-GGA) on CrTe2IN after structural relaxation.

abc: 5.963 5.963 3.913
angles: 90.00 90.00 90.00
Element x y z (fractional)
Cr 0.000 0.000 0.000
Te 0.000 0.500 0.500
Te 0.500 0.000 0.500
I 0.500 0.500 0.500
N 0.500 0.500 0.000

Calculated values
excess energy over the best structure of this formula in the dataset = 1047.9 meV/atom
raw formation energy = 133.7 kJ per mole of atoms

---

3.
VASP calculation (PBE-GGA) on La6Er4Tm after structural relaxation.

abc: 5.736 5.736 26.220
angles: 90.00 90.00 118.35
Element x y z (fractional)
La 0.000 0.000 0.000
La 0.000 0.000 0.500
La 0.035 0.965 0.750
La 0.312 0.688 0.099
La 0.312 0.688 0.401
La 0.362 0.638 0.682
La 0.362 0.638 0.818
La 0.638 0.362 0.182
La 0.638 0.362 0.318
La 0.688 0.312 0.599
La 0.688 0.312 0.901
La 0.965 0.035 0.250
Er 0.028 0.972 0.625
Er 0.028 0.972 0.875
Er 0.343 0.657 0.546
Er 0.343 0.657 0.954
Er 0.657 0.343 0.046
Er 0.657 0.343 0.454
Er 0.972 0.028 0.125
Er 0.972 0.028 0.375
Tm 0.303 0.697 0.250
Tm 0.697 0.303 0.750

Calculated values
energy of formation from the pure elements = 0.10 eV per atom

---

4.
VASP calculation (PBE-GGA) on LiFeIr after structural relaxation.

abc: 13.268 2.662 2.662
angles: 60.04 90.00 90.00
Element x y z (fractional)
Li 0.164 0.000 0.000
Li 0.836 0.000 0.000
Fe 0.339 0.337 0.337
Fe 0.661 0.337 0.337
Ir 0.000 0.333 0.333
Ir 0.500 0.004 0.004

Calculated values
excess energy over the best structure of this formula in the dataset = 73.1 meV/atom
energy of formation from the pure elements = 0.03 eV per atom

---

5.
VASP calculation (PBE-GGA) on K2BaSnBi2 after structural relaxation.

abc: 5.511 9.983 8.998
angles: 90.00 90.00 90.00
Element x y z (fractional)
K 0.000 0.087 0.000
K 0.000 0.913 0.500
K 0.500 0.158 0.330
K 0.500 0.842 0.830
Ba 0.500 0.464 0.984
Ba 0.500 0.536 0.484
Sn 0.000 0.316 0.636
Sn 0.000 0.684 0.136
Bi 0.000 0.388 0.265
Bi 0.000 0.612 0.765
Bi 0.500 0.189 0.724
Bi 0.500 0.811 0.224

Calculated values
energy of formation from the pure elements = -0.50 eV per atom

---

6.
VASP calculation (PBE-GGA) on TcAsW2 after structural relaxation.

abc: 3.723 3.723 4.502
angles: 90.00 90.00 90.00
Element x y z (fractional)
Tc 0.000 0.000 0.000
As 0.500 0.500 0.000
W 0.000 0.500 0.500
W 0.500 0.000 0.500

Calculated values
energy of formation from the pure elements = 0.45 eV per atom

---

7.
VASP calculation (PBE-GGA) on HfTl2Re3O12 after structural relaxation.

abc: 7.453 7.453 7.453
angles: 59.04 59.04 59.04
Element x y z (fractional)
Hf 0.000 0.000 0.000
Tl 0.402 0.402 0.402
Tl 0.598 0.598 0.598
Re 0.000 0.000 0.500
Re 0.000 0.500 0.000
Re 0.500 0.000 0.000
O 0.061 0.061 0.674
O 0.061 0.674 0.061
O 0.071 0.688 0.688
O 0.312 0.312 0.929
O 0.312 0.929 0.312
O 0.326 0.939 0.939
O 0.674 0.061 0.061
O 0.688 0.071 0.688
O 0.688 0.688 0.071
O 0.929 0.312 0.312
O 0.939 0.326 0.939
O 0.939 0.939 0.326

Calculated values
raw formation energy = -167.6 kJ per mole of atoms

---

8.
VASP calculation (PBE-GGA) on Rb2HF after structural relaxation.

abc: 4.980 4.980 4.980
angles: 60.00 60.00 60.00
Element x y z (fractional)
Rb 0.250 0.250 0.250
Rb 0.750 0.750 0.750
H 0.000 0.000 0.000
F 0.500 0.500 0.500

Calculated values
excess energy over the best structure of this formula in the dataset = 91.8 meV/atom

---

9.
VASP calculation (PBE-GGA) on CaMgSiAg after structural relaxation.

abc: 4.892 4.892 4.892
angles: 60.00 60.00 60.00
Element x y z (fractional)
Ca 0.000 0.000 0.000
Mg 0.500 0.500 0.500
Si 0.250 0.250 0.250
Ag 0.750 0.750 0.750

Calculated values
raw formation energy = -20.2 kJ per mole of atoms

---

10.
VASP calculation (PBE-GGA) on Be4CuHg after structural relaxation.

abc: 4.491 4.491 4.491
angles: 60.00 60.00 60.00
Element x y z (fractional)
Be 0.124 0.124 0.124
Be 0.124 0.124 0.629
Be 0.124 0.629 0.124
Be 0.629 0.124 0.124
Cu 0.750 0.750 0.750
Hg 0.500 0.500 0.500

Calculated values
energy of formation from the pure elements = 0.11 eV per atom

---

11.
VASP calculation (PBE-GGA) on LiLa2Re after structural relaxation.

abc: 3.609 3.609 7.732
angles: 90.00 90.00 90.00
Element x y z (fractional)
Li 0.000 0.000 0.000
La 0.000 0.000 0.358
La 0.500 0.500 0.784
Re 0.500 0.500 0.119

Calculated values
energy of formation from the pure elements = 0.37 eV per atom

---

12.
VASP calculation (PBE-GGA) on LiTbTm2Hg4 after structural relaxation.

abc: 9.007 9.007 9.007
angles: 32.89 32.89 32.89
Element x y z (fractional)
Li 0.000 0.000 0.000
Tb 0.500 0.500 0.500
Tm 0.255 0.255 0.255
Tm 0.745 0.745 0.745
Hg 0.120 0.120 0.120
Hg 0.374 0.374 0.374
Hg 0.626 0.626 0.626
Hg 0.880 0.880 0.880

Calculated values
energy of formation from the pure elements = -0.45 eV per atom

---

13.
VASP calculation (PBE-GGA) on TlAuBr2 after structural relaxation.

abc: 8.010 8.010 8.010
angles: 32.80 32.80 32.80
Element x y z (fractional)
Tl 0.000 0.000 0.000
Au 0.214 0.214 0.214
Br 0.541 0.541 0.541
Br 0.740 0.740 0.740

Calculated values
excess energy over the best structure of this formula in the dataset = 167.5 meV/atom
raw formation energy = -30.3 kJ per mole of atoms

---

14.
VASP calculation (PBE-GGA) on AlCrIn2 after structural relaxation.

abc: 4.918 4.918 4.918
angles: 60.00 60.00 60.00
Element x y z (fractional)
Al 0.000 0.000 0.000
Cr 0.250 0.250 0.250
In 0.500 0.500 0.500
In 0.750 0.750 0.750

Calculated values
energy of formation from the pure elements = 0.40 eV per atom

---

15.
VASP calculation (PBE-GGA) on Al2VTc2 after structural relaxation.

abc: 6.512 6.512 6.512
angles: 142.39 90.34 101.64
Element x y z (fractional)
Al 0.222 0.132 0.090
Al 0.458 0.868 0.590
Al 0.542 0.132 0.410
Al 0.778 0.868 0.910
V 0.125 0.875 0.250
V 0.875 0.125 0.750
Tc 0.027 0.615 0.411
Tc 0.296 0.385 0.911
Tc 0.704 0.615 0.089
Tc 0.973 0.385 0.589

Calculated values
excess energy over the best structure of this formula in the dataset = 56.3 meV/atom
energy of formation from the pure elements = -0.10 eV per atom

---

16.
VASP calculation (PBE-GGA) on Ta2InMoRu after structural relaxation.

abc: 4.919 4.919 4.769
angles: 90.00 90.00 90.00
Element x y z (fractional)
Ta 0.000 0.500 0.000
Ta 0.500 0.000 0.000
In 0.000 0.000 0.000
Mo 0.000 0.000 0.500
Ru 0.500 0.500 0.500

Calculated values
energy of formation from the pure elements = 2.56 eV per atom

---

17.
VASP calculation (PBE-GGA) on PaNiTe after structural relaxation.

abc: 4.223 4.223 4.233
angles: 90.00 90.00 120.00
Element x y z (fractional)
Pa 0.000 0.000 0.000
Ni 0.333 0.667 0.307
Te 0.667 0.333 0.510

Calculated values
excess energy over the best structure of this formula in the dataset = 55.9 meV/atom
raw formation energy = -49.9 kJ per mole of atoms

---

18.
VASP calculation (PBE-GGA) on LiLaNdZn after structural relaxation.

abc: 5.330 5.330 5.330
angles: 60.00 60.00 60.00
Element x y z (fractional)
Li 0.000 0.000 0.000
La 0.250 0.250 0.250
Nd 0.750 0.750 0.750
Zn 0.500 0.500 0.500

Calculated values
excess energy over the best structure of this formula in the dataset = 16.0 meV/atom
energy of formation from the pure elements = -0.10 eV per atom

---

19.
VASP calculation (PBE-GGA) on Na3WS4 after structural relaxation.

abc: 7.315 7.315 7.315
angles: 129.40 129.40 74.36
Element x y z (fractional)
Na 0.000 0.000 0.000
Na 0.250 0.750 0.500
Na 0.750 0.250 0.500
W 0.500 0.500 0.000
S 0.181 0.181 0.579
S 0.398 0.819 0.000
S 0.602 0.602 0.421
S 0.819 0.398 0.000

Calculated values
excess energy over the best structure of this formula in the dataset = 0.0 meV/atom
raw formation energy = -79.0 kJ per mole of atoms

---

20.
VASP calculation (PBE-GGA) on Ba2LiMn after structural relaxation.

abc: 4.135 4.135 11.016
angles: 101.48 101.48 61.17
Element x y z (fractional)
Ba 0.239 0.239 0.218
Ba 0.761 0.761 0.782
Li 0.000 0.000 0.500
Mn 0.500 0.500 0.000

Calculated values
excess energy over the best structure of this formula in the dataset = 152.9 meV/atom
energy of formation from the pure elements = 0.50 eV per atom